No. 1
DFT (PBE) results for a relaxed structure of TbSc2Rh.

Structure (POSCAR):
```
TbSc2Rh
1.0
1.8211 -5.7763 0.0000
1.8211 5.7763 0.0000
0.0000 0.0000 8.7770
Tb Sc Rh
2 4 2
direct
0.0663 0.9337 0.7500
0.9337 0.0663 0.2500
0.3588 0.6412 0.5647
0.3588 0.6412 0.9353
0.6412 0.3588 0.0647
0.6412 0.3588 0.4353
0.2408 0.7592 0.2500
0.7592 0.2408 0.7500
```

Calculated total energy (eV/atom): -6.67
Space-group type: Cmcm
Magnetization (μB/cell): 0.0



No. 2
DFT (PBE) results for a relaxed structure of TbScRh.

Structure (POSCAR):
```
TbScRh
1.0
0.0000 3.3061 3.3061
3.3061 0.0000 3.3061
3.3061 3.3061 0.0000
Tb Sc Rh
1 1 1
direct
0.0000 0.0000 0.0000
0.5000 0.5000 0.5000
0.7500 0.7500 0.7500
```

Calculated total energy (eV/atom): -6.66
Space-group type: F-43m
Magnetization (μB/cell): 0.0



No. 3
DFT (PBE) results for a relaxed structure of TbSc2Rh9.

Structure (POSCAR):
```
TbSc2Rh9
1.0
2.5957 1.4986 8.6451
-2.5957 1.4986 8.6451
0.0000 -2.9973 8.6451
Tb Sc Rh
1 2 9
direct
0.0000 0.0000 0.0000
0.1400 0.1400 0.1400
0.8600 0.8600 0.8600
0.0824 0.5858 0.5858
0.3335 0.3335 0.3335
0.4142 0.4142 0.9176
0.4142 0.9176 0.4142
0.5000 0.5000 0.5000
0.5858 0.0824 0.5858
0.5858 0.5858 0.0824
0.6665 0.6665 0.6665
0.9176 0.4142 0.4142
```

Calculated total energy (eV/atom): -7.49
Space-group type: R-3m
Magnetization (μB/cell): 0.0



No. 4
DFT (PBE) results for a relaxed structure of TbScRh.

Structure (POSCAR):
```
TbScRh
1.0
7.0610 0.0000 0.0000
0.0000 4.4610 0.0000
-0.1079 0.0000 12.7160
Tb Sc Rh
6 6 6
direct
0.0034 0.2500 0.2870
0.3754 0.7500 0.9108
0.4817 0.7500 0.6194
0.5183 0.2500 0.3806
0.6246 0.2500 0.0892
0.9966 0.7500 0.7130
0.0260 0.2500 0.9149
0.1429 0.2500 0.5444
0.3484 0.7500 0.2128
0.6516 0.2500 0.7872
0.8571 0.7500 0.4556
0.9740 0.7500 0.0851
0.2153 0.2500 0.1061
0.2398 0.7500 0.4338
0.2784 0.2500 0.7574
0.7216 0.7500 0.2426
0.7602 0.2500 0.5662
0.7847 0.7500 0.8939
```

Calculated total energy (eV/atom): -6.79
Space-group type: P2_1/m
Magnetization (μB/cell): 0.0



No. 5
DFT (PBE) results for a relaxed structure of Tb2ScRh3.

Structure (POSCAR):
```
Tb2ScRh3
1.0
4.7704 0.0000 0.0000
-2.3852 4.1313 0.0000
0.0000 0.0000 11.6887
Tb Sc Rh
4 2 6
direct
0.0000 0.0000 0.0000
0.0000 0.0000 0.5000
0.3333 0.6667 0.1730
0.6667 0.3333 0.8270
0.3333 0.6667 0.6632
0.6667 0.3333 0.3368
0.0000 0.0000 0.2566
0.0000 0.0000 0.7434
0.3333 0.6667 0.4183
0.3333 0.6667 0.9092
0.6667 0.3333 0.0908
0.6667 0.3333 0.5817
```

Calculated total energy (eV/atom): -7.15
Space-group type: P-3m1
Magnetization (μB/cell): 0.0



No. 6
DFT (PBE) results for a relaxed structure of TbScTlRh.

Structure (POSCAR):
```
TbScTlRh
1.0
0.0000 3.5309 3.5309
3.5309 0.0000 3.5309
3.5309 3.5309 0.0000
Tb Sc Tl Rh
1 1 1 1
direct
0.0000 0.0000 0.0000
0.5000 0.5000 0.5000
0.2500 0.2500 0.2500
0.7500 0.7500 0.7500
```

Calculated total energy (eV/atom): -5.65
Space-group type: F-43m
Magnetization (μB/cell): 0.0



No. 7
DFT (PBE) results for a relaxed structure of TbScTlRh.

Structure (POSCAR):
```
TbScTlRh
1.0
3.4056 0.0000 0.0000
0.0000 3.4056 0.0000
0.0000 0.0000 7.5928
Tb Sc Tl Rh
1 1 1 1
direct
0.0000 0.0000 0.0000
0.0000 0.0000 0.5750
0.5000 0.5000 0.3081
0.5000 0.5000 0.7600
```

Calculated total energy (eV/atom): -5.79
Space-group type: P4mm
Magnetization (μB/cell): 0.0



No. 8
DFT (PBE) results for a relaxed structure of TbTmScRh.

Structure (POSCAR):
```
TbTmScRh
1.0
0.0000 3.5706 3.5706
3.5706 0.0000 3.5706
3.5706 3.5706 0.0000
Tb Tm Sc Rh
1 1 1 1
direct
0.0000 0.0000 0.0000
0.5000 0.5000 0.5000
0.7500 0.7500 0.7500
0.2500 0.2500 0.2500
```

Calculated total energy (eV/atom): -5.91
Space-group type: F-43m
Magnetization (μB/cell): 0.0



No. 9
DFT (PBE) results for a relaxed structure of TbScZnRh.

Structure (POSCAR):
```
TbScZnRh
1.0
0.0000 3.4009 3.4009
3.4009 0.0000 3.4009
3.4009 3.4009 0.0000
Tb Sc Zn Rh
1 1 1 1
direct
0.0000 0.0000 0.0000
0.5000 0.5000 0.5000
0.2500 0.2500 0.2500
0.7500 0.7500 0.7500
```

Calculated total energy (eV/atom): -5.50
Space-group type: F-43m
Magnetization (μB/cell): 0.0



No. 10
DFT (PBE) results for a relaxed structure of Tb2ScZn2Rh5.

Structure (POSCAR):
```
Tb2ScZn2Rh5
1.0
9.8024 0.0000 0.0000
0.0000 9.8024 0.0000
0.0000 0.0000 3.6118
Tb Sc Zn Rh
4 2 4 10
direct
0.1726 0.3274 0.0000
0.3274 0.8274 0.0000
0.6726 0.1726 0.0000
0.8274 0.6726 0.0000
0.0000 0.0000 0.0000
0.5000 0.5000 0.0000
0.1241 0.6241 0.0000
0.3759 0.1241 0.0000
0.6241 0.8759 0.0000
0.8759 0.3759 0.0000
0.0000 0.5000 0.5000
0.0694 0.7965 0.5000
0.2035 0.0694 0.5000
0.2965 0.5694 0.5000
0.4306 0.2965 0.5000
0.5000 0.0000 0.5000
0.5694 0.7035 0.5000
0.7035 0.4306 0.5000
0.7965 0.9306 0.5000
0.9306 0.2035 0.5000
```

Calculated total energy (eV/atom): -6.18
Space-group type: P4/mbm
Magnetization (μB/cell): 0.0